Version a
Here is Al2Cu2Hg after structural relaxation from the Alexandria database. Energies are from PBE-GGA.

Cell: 7.4725 7.4725 2.8383 Å, 90.00 90.00 90.00°
Sites, in units of the cell vectors:
Al1 0.1712 0.3288 0.0000
Al2 0.3288 0.8288 0.0000
Al3 0.6712 0.1712 0.0000
Al4 0.8288 0.6712 0.0000
Cu1 0.1223 0.6223 0.5000
Cu2 0.3777 0.1223 0.5000
Cu3 0.6223 0.8777 0.5000
Cu4 0.8777 0.3777 0.5000
Hg1 0.0000 0.0000 0.5000
Hg2 0.5000 0.5000 0.5000

Symmetry: P4/mbm (127)

=====

Version b
Here is Al2Cu2Hg after structural relaxation from the Alexandria database. Energies are from PBE-GGA.

Cell: 3.8506 3.8506 11.4141 Å, 90.00 90.00 90.00°
Sites, in units of the cell vectors:
Al1 0.0000 0.5000 0.2500
Al2 0.0000 0.5000 0.7500
Al3 0.5000 0.0000 0.2500
Al4 0.5000 0.0000 0.7500
Cu1 0.0000 0.0000 0.1086
Cu2 0.0000 0.0000 0.8914
Cu3 0.5000 0.5000 0.3914
Cu4 0.5000 0.5000 0.6086
Hg1 0.0000 0.0000 0.5000
Hg2 0.5000 0.5000 0.0000

Symmetry: I4/mmm (139)

=====

Version c
Here is Al2Cu2Hg after structural relaxation from the Alexandria database. Energies are from PBE-GGA.

Cell: 7.7902 7.7902 2.6747 Å, 90.00 90.00 90.00°
Sites, in units of the cell vectors:
Al1 0.1293 0.3707 0.0000
Al2 0.3707 0.8707 0.0000
Al3 0.6293 0.1293 0.0000
Al4 0.8707 0.6293 0.0000
Cu1 0.1661 0.6661 0.5000
Cu2 0.3339 0.1661 0.5000
Cu3 0.6661 0.8339 0.5000
Cu4 0.8339 0.3339 0.5000
Hg1 0.0000 0.0000 0.0000
Hg2 0.5000 0.5000 0.0000

Symmetry: P4/mbm (127)

=====

Stability comparison, relative energies in eV/atom: version a 0.000; version b 0.070; version c 0.007

=====

Version a
Here is Al2CuHg2 after structural relaxation from the Alexandria database. Energies are from PBE-GGA.

Cell: 7.5359 7.5359 3.5398 Å, 90.00 90.00 90.00°
Sites, in units of the cell vectors:
Al1 0.1274 0.3726 0.0000
Al2 0.3726 0.8726 0.0000
Al3 0.6274 0.1274 0.0000
Al4 0.8726 0.6274 0.0000
Cu1 0.0000 0.0000 0.5000
Cu2 0.5000 0.5000 0.5000
Hg1 0.1786 0.6786 0.5000
Hg2 0.3214 0.1786 0.5000
Hg3 0.6786 0.8214 0.5000
Hg4 0.8214 0.3214 0.5000

Symmetry: P4/mbm (127)

=====

Version b
Here is Al2CuHg2 after structural relaxation from the Alexandria database. Energies are from PBE-GGA.

Cell: 6.7057 6.7057 4.3187 Å, 90.00 90.00 90.00°
Sites, in units of the cell vectors:
Al1 0.1475 0.3525 0.0000
Al2 0.3525 0.8525 0.0000
Al3 0.6475 0.1475 0.0000
Al4 0.8525 0.6475 0.0000
Cu1 0.0000 0.0000 0.0000
Cu2 0.5000 0.5000 0.0000
Hg1 0.1691 0.6691 0.5000
Hg2 0.3309 0.1691 0.5000
Hg3 0.6691 0.8309 0.5000
Hg4 0.8309 0.3309 0.5000

Symmetry: P4/mbm (127)

=====

Stability comparison, relative energies in eV/atom: version a 0.149; version b 0.000

=====

Version a
Here is HoAlCu3 after structural relaxation from the Alexandria database. Energies are from PBE-GGA.

Cell: 6.3174 6.3174 6.3174 Å, 132.55 112.74 86.40°
Sites, in units of the cell vectors:
Ho1 0.2577 0.0077 0.2500
Ho2 0.7423 0.9923 0.7500
Al1 0.0000 0.5000 0.5000
Al2 0.5000 0.5000 0.0000
Cu1 0.1919 0.0000 0.6919
Cu2 0.1919 0.5000 0.1919
Cu3 0.4353 0.6853 0.7500
Cu4 0.5647 0.3147 0.2500
Cu5 0.8081 0.0000 0.3081
Cu6 0.8081 0.5000 0.8081

Symmetry: Imma (74)

=====

Version b
Here is HoAlCu3 after structural relaxation from the Alexandria database. Energies are from PBE-GGA.

Cell: 5.5792 7.3540 4.5208 Å, 90.00 90.00 90.00°
Sites, in units of the cell vectors:
Ho1 0.0000 0.0000 0.0000
Ho2 0.5000 0.5000 0.0000
Al1 0.0000 0.5000 0.5000
Al2 0.5000 0.0000 0.5000
Cu1 0.0000 0.5000 0.0000
Cu2 0.2454 0.2474 0.5000
Cu3 0.2546 0.7474 0.5000
Cu4 0.5000 0.0000 0.0000
Cu5 0.7454 0.2526 0.5000
Cu6 0.7546 0.7526 0.5000

Symmetry: Pbam (55)

=====

Stability comparison, relative energies in eV/atom: version a 0.000; version b 0.307

=====

Version a
Here is Ho4AlCu2 after structural relaxation from the Alexandria database. Energies are from PBE-GGA.

Cell: 8.3616 8.3616 8.3616 Å, 34.18 34.18 34.18°
Sites, in units of the cell vectors:
Ho1 0.1170 0.1170 0.1170
Ho2 0.3704 0.3704 0.3704
Ho3 0.6296 0.6296 0.6296
Ho4 0.8830 0.8830 0.8830
Al1 0.5000 0.5000 0.5000
Cu1 0.2430 0.2430 0.2430
Cu2 0.7570 0.7570 0.7570

Symmetry: R-3m (166)

=====

Version b
Here is Ho4AlCu2 after structural relaxation from the Alexandria database. Energies are from PBE-GGA.

Cell: 8.8696 8.8696 8.8696 Å, 31.95 31.95 31.95°
Sites, in units of the cell vectors:
Ho1 0.1211 0.1211 0.1211
Ho2 0.2920 0.2920 0.2920
Ho3 0.7080 0.7080 0.7080
Ho4 0.8789 0.8789 0.8789
Al1 0.5000 0.5000 0.5000
Cu1 0.4044 0.4044 0.4044
Cu2 0.5956 0.5956 0.5956

Symmetry: R-3m (166)

=====

Stability comparison, relative energies in eV/atom: version a 0.000; version b 0.071